Entry 1:
The following is a PBE calculation of a relaxed AlCoMo2Cl crystal, from Alexandria via LeMat-Bulk.

Cell and atoms, written as POSCAR:
```
AlCoMo2Cl
1.0
-0.1117 4.6807 -0.7413
-3.2420 0.3413 2.6438
3.0086 0.6430 3.6064
Mo Co Al Cl
2 1 1 1
Cartesian
1.5043 0.3215 1.8032
-0.0559 2.3404 -0.3707
-1.6210 0.1707 1.3219
0.0000 0.0000 0.0000
-0.1726 2.8325 2.7544
```

Calculated values
uncorrected formation energy	1.66	eV per atom
space group	P4/mmm, No. 123

---

Entry 2:
The following is a PBE calculation of a relaxed CaAgAs2 crystal, from Alexandria via LeMat-Bulk.

Cell and atoms, written as POSCAR:
```
CaAgAs2
1.0
-1.6027 -2.1077 -4.4323
-1.6197 -3.9526 2.9000
-2.8056 1.4041 0.3468
As Ca Ag
2 1 1
Cartesian
0.0000 0.0000 0.0000
-1.6112 -3.0302 -0.7662
-2.2042 -0.3518 -2.0427
-2.2126 -1.2742 1.6234
```

Calculated values
space group	Cmmm, No. 65
energy of formation from the pure elements	-343	meV/atom

---

Entry 3:
The following is a PBE calculation of a relaxed NiRhPb2 crystal, from Alexandria via LeMat-Bulk.

Cell and atoms, written as POSCAR:
```
NiRhPb2
1.0
-2.2069 4.2267 -0.8298
-2.5907 2.1061 3.5038
1.6262 4.0360 2.1190
Ni Pb Rh
1 2 1
Cartesian
-1.5857 5.1844 2.3965
0.0000 0.0000 0.0000
-0.7928 2.5922 1.1982
-2.3785 7.7766 3.5947
```

Calculated values
space group	F-43m, No. 216
energy of formation from the pure elements	454	meV/atom

---

Entry 4:
The following is a PBE calculation of a relaxed ScMnRu2 crystal, from Alexandria via LeMat-Bulk.

Cell and atoms, written as POSCAR:
```
ScMnRu2
1.0
4.4683 0.0000 0.0000
0.0000 2.8641 -0.0960
0.0000 0.9740 4.7059
Mn Ru Sc
1 2 1
Cartesian
2.2342 3.1982 3.4134
0.0000 2.6096 -0.0102
2.2342 0.9673 0.9973
0.0000 1.8462 2.4181
```

Calculated values
space group	Pm, No. 6
energy of formation from the pure elements	-18	meV/atom

---

Please write out number 3 again, unchanged.
The following is a PBE calculation of a relaxed NiRhPb2 crystal, from Alexandria via LeMat-Bulk.

Cell and atoms, written as POSCAR:
```
NiRhPb2
1.0
-2.2069 4.2267 -0.8298
-2.5907 2.1061 3.5038
1.6262 4.0360 2.1190
Ni Pb Rh
1 2 1
Cartesian
-1.5857 5.1844 2.3965
0.0000 0.0000 0.0000
-0.7928 2.5922 1.1982
-2.3785 7.7766 3.5947
```

Calculated values
space group	F-43m, No. 216
energy of formation from the pure elements	454	meV/atom

---

Q: Which formula does entry 3 have?
A: NiRhPb2

---

Q: What is the formula in the fourth record?
A: ScMnRu2